A plane-wave DFT calculation with GGA+U was carried out for an optimized crystal structure of CaTiNiP3O12.

Cell: 8.837 8.837 8.837 Å, 58.62 58.62 58.62°
Fractional positions:
Ca: 0.000 0.000 0.000
Ca: 0.500 0.500 0.500
Ti: 0.350 0.350 0.350
Ti: 0.850 0.850 0.850
Ni: 0.143 0.143 0.143
Ni: 0.643 0.643 0.643
P: 0.036 0.457 0.745
P: 0.245 0.957 0.536
P: 0.457 0.745 0.036
P: 0.536 0.245 0.957
P: 0.745 0.036 0.457
P: 0.957 0.536 0.245
O: 0.063 0.270 0.911
O: 0.072 0.945 0.724
O: 0.126 0.498 0.290
O: 0.208 0.980 0.374
O: 0.224 0.445 0.572
O: 0.270 0.911 0.063
O: 0.290 0.126 0.498
O: 0.374 0.208 0.980
O: 0.411 0.770 0.563
O: 0.445 0.572 0.224
O: 0.480 0.708 0.874
O: 0.498 0.290 0.126
O: 0.563 0.411 0.770
O: 0.572 0.224 0.445
O: 0.626 0.790 0.998
O: 0.708 0.874 0.480
O: 0.724 0.072 0.945
O: 0.770 0.563 0.411
O: 0.790 0.998 0.626
O: 0.874 0.480 0.708
O: 0.911 0.063 0.270
O: 0.945 0.724 0.072
O: 0.980 0.374 0.208
O: 0.998 0.626 0.790

Final energy in eV per atom: -7.22